Compound: VMo5W2
Source: Alexandria
Functional: PBE
Structure: relaxed

Symmetry: I4/mmm, No. 139
ΔH_f (0 K): -0.07 eV/atom

a = 5.4612 Å, b = 5.4612 Å, c = 5.4612 Å
α = 109.55°, β = 109.55°, γ = 109.31°
Closest atoms and distances in Å follow each position.
Positions (direct):
V  0.0000  0.0000  0.0000  8 Mo 2.73
Mo  0.0000  0.0000  0.5000  4 W 2.73, 2 Mo 2.73, 2 V 2.73
Mo  0.0000  0.5000  0.0000  4 W 2.73, 2 Mo 2.73, 2 V 2.73
Mo  0.5000  0.0000  0.0000  4 W 2.73, 2 Mo 2.73, 2 V 2.73
Mo  0.5000  0.5000  0.0000  8 Mo 2.73
Mo  0.5000  0.5000  0.5000  4 W 2.73, 2 Mo 2.73, 2 V 2.73
W  0.0000  0.5000  0.5000  8 Mo 2.73
W  0.5000  0.0000  0.5000  8 Mo 2.73



Compound: YCoSn2
Source: Alexandria
Functional: PBE
Structure: relaxed

Symmetry: Immm, No. 71
ΔH_f (0 K): -0.45 eV/atom

a = 9.8577 Å, b = 9.8577 Å, c = 9.8577 Å
α = 153.94°, β = 123.33°, γ = 63.40°
Closest atoms and distances in Å follow each position.
Positions (direct):
Y  0.2089  0.2089  0.0000  8 Sn 3.06-3.13, 6 Co 3.38-3.39
Y  0.2303  0.0000  0.2303  4 Co 3.31, 10 Sn 3.40-3.66
Y  0.7697  0.0000  0.7697  4 Co 3.31, 10 Sn 3.40-3.66
Y  0.7911  0.7911  0.0000  8 Sn 3.06-3.13, 6 Co 3.38-3.39
Co  0.1023  0.3542  0.7480  5 Sn 2.52-2.74
Co  0.3938  0.6458  0.7480  5 Sn 2.52-2.74
Co  0.6062  0.3542  0.2520  5 Sn 2.52-2.74
Co  0.8977  0.6458  0.2520  5 Sn 2.52-2.74
Sn  0.0833  0.5833  0.5000  2 Co 2.55, 1 Sn 2.80
Sn  0.1367  0.8025  0.3343  3 Co 2.52-2.74
Sn  0.4139  0.4139  0.0000  2 Co 2.56
Sn  0.4682  0.8025  0.6657  3 Co 2.52-2.74
Sn  0.5318  0.1975  0.3343  3 Co 2.52-2.74
Sn  0.5861  0.5861  0.0000  2 Co 2.56
Sn  0.8633  0.1975  0.6657  3 Co 2.52-2.74
Sn  0.9167  0.4167  0.5000  2 Co 2.55, 1 Sn 2.80



Compound: BaLi2Ag
Source: Alexandria
Functional: PBE
Structure: relaxed

E above lowest polymorph: 0.0 kJ per mole of atoms
Symmetry: R3m, No. 160
ΔH_f (0 K): -0.13 eV/atom

a = 6.5412 Å, b = 6.5412 Å, c = 6.5412 Å
α = 42.85°, β = 42.85°, γ = 42.85°
Closest atoms and distances in Å follow each position.
Positions (direct):
Ba  0.0000  0.0000  0.0000  4 Li 3.40-3.74, 4 Ag 3.50-3.67
Li  0.1913  0.1913  0.1913  3 Li 2.83, 3 Ag 2.93
Li  0.4898  0.4898  0.4898  3 Ag 2.78, 3 Li 2.83
Ag  0.8031  0.8031  0.8031  6 Li 2.78-2.93



Compound: MgPdAu4
Source: Alexandria
Functional: PBE
Structure: relaxed

E above lowest polymorph: 7.0 kJ per mole of atoms
Symmetry: P2_1/m, No. 11
ΔH_f (0 K): -0.25 eV/atom

a = 4.6531 Å, b = 5.6346 Å, c = 8.0609 Å
α = 90.00°, β = 90.06°, γ = 90.00°
Closest atoms and distances in Å follow each position.
Positions (direct):
Mg  0.2485  0.2500  0.0904  1 Pd 2.60, 4 Au 2.69-2.82
Mg  0.7515  0.7500  0.9096  1 Pd 2.60, 4 Au 2.69-2.82
Pd  0.2498  0.2500  0.4125  1 Mg 2.60, 4 Au 2.71-2.82
Pd  0.7502  0.7500  0.5875  1 Mg 2.60, 4 Au 2.71-2.82
Au  0.2498  0.5016  0.7502  8 Au 2.80-3.07, 3 Mg 3.00-3.09, 3 Pd 3.01-3.07
Au  0.2501  0.7500  0.4156  4 Pd 2.71-2.82, 1 Au 2.73
Au  0.2498  0.9984  0.7502  8 Au 2.80-3.07, 3 Mg 3.00-3.09, 3 Pd 3.01-3.07
Au  0.2516  0.7500  0.0773  4 Mg 2.69-2.82, 3 Au 2.73-2.99
Au  0.7484  0.2500  0.9227  4 Mg 2.69-2.82, 3 Au 2.73-2.99
Au  0.7502  0.0016  0.2498  8 Au 2.80-3.07, 3 Mg 3.00-3.09, 3 Pd 3.01-3.07
Au  0.7499  0.2500  0.5844  4 Pd 2.71-2.82, 1 Au 2.73
Au  0.7502  0.4984  0.2498  8 Au 2.80-3.07, 3 Mg 3.00-3.09, 3 Pd 3.01-3.07



Compound: InReC2
Source: Alexandria
Functional: PBE
Structure: relaxed

E above lowest polymorph: 109.4 kJ per mole of atoms
Symmetry: Fm-3m, No. 225
ΔH_f (0 K): 1.99 eV/atom

a = 4.0184 Å, b = 4.0184 Å, c = 4.0184 Å
α = 60.00°, β = 60.00°, γ = 60.00°
Closest atoms and distances in Å follow each position.
Positions (direct):
In  0.0000  0.0000  0.0000  8 C 2.46
Re  0.5000  0.5000  0.5000  8 C 2.46
C  0.2500  0.2500  0.2500  4 In 2.46, 4 Re 2.46
C  0.7500  0.7500  0.7500  4 In 2.46, 4 Re 2.46



Compound: As2PWSe
Source: Alexandria
Functional: PBE
Structure: relaxed

E above lowest polymorph: 38.1 kJ per mole of atoms
Symmetry: P4/mmm, No. 123
Energy relative to the elements, uncorrected: 6.25 eV per formula unit

a = 4.5780 Å, b = 4.5780 Å, c = 4.7660 Å
α = 90.00°, β = 90.00°, γ = 90.00°
Closest atoms and distances in Å follow each position.
Positions (direct):
As  0.0000  0.5000  0.0000  2 P 2.29
As  0.5000  0.0000  0.0000  2 P 2.29
P  0.0000  0.0000  0.0000  4 As 2.29, 2 Se 2.38
W  0.5000  0.5000  0.5000  4 Se 3.24, 8 As 3.30
Se  0.0000  0.0000  0.5000  2 P 2.38



Compound: CdCo2Si
Source: Alexandria
Functional: PBE
Structure: relaxed

E above lowest polymorph: 42.1 kJ per mole of atoms
Symmetry: R3m, No. 160
Energy relative to the elements, uncorrected: 0.90 eV per formula unit

a = 8.7338 Å, b = 8.7338 Å, c = 8.7338 Å
α = 18.20°, β = 18.20°, γ = 18.20°
Closest atoms and distances in Å follow each position.
Positions (direct):
Cd  0.0000  0.0000  0.0000  6 Cd 2.76, 3 Co 2.83, 3 Si 3.08
Co  0.4959  0.4959  0.4959  3 Si 2.38, 3 Co 2.44
Co  0.7574  0.7574  0.7574  3 Co 2.44
Si  0.2309  0.2309  0.2309  3 Co 2.38



Compound: HoMgCdRh
Source: Alexandria
Functional: PBE
Structure: relaxed

Symmetry: F-43m, No. 216
ΔH_f (0 K): -0.41 eV/atom

a = 4.8571 Å, b = 4.8571 Å, c = 4.8571 Å
α = 60.00°, β = 60.00°, γ = 60.00°
Closest atoms and distances in Å follow each position.
Positions (direct):
Ho  0.0000  0.0000  0.0000  4 Cd 2.97, 4 Rh 2.97
Mg  0.5000  0.5000  0.5000  4 Cd 2.97, 4 Rh 2.97
Cd  0.7500  0.7500  0.7500  4 Ho 2.97, 4 Mg 2.97
Rh  0.2500  0.2500  0.2500  4 Ho 2.97, 4 Mg 2.97



Compound: Ca2LaIO8
Source: Alexandria
Functional: PBE
Structure: relaxed

Symmetry: P2/m, No. 10
Energy relative to the elements, uncorrected: -20.92 eV per formula unit

a = 4.5875 Å, b = 7.2415 Å, c = 5.2075 Å
α = 90.00°, β = 91.75°, γ = 90.00°
Closest atoms and distances in Å follow each position.
Positions (direct):
Ca  0.0000  0.2360  0.0000  6 O 2.30-2.45
Ca  0.0000  0.7640  0.0000  6 O 2.30-2.45
La  0.5000  0.5000  0.5000  6 O 2.37-2.57
I  0.5000  0.0000  0.5000  6 O 1.90-1.91
O  0.0660  0.5000  0.2409  2 Ca 2.30, 1 La 2.37, 1 O 2.56
O  0.1298  0.0000  0.3200  1 I 1.91
O  0.3980  0.1928  0.7278  1 I 1.90
O  0.3980  0.8072  0.7278  1 I 1.90
O  0.6020  0.1928  0.2722  1 I 1.90
O  0.6020  0.8072  0.2722  1 I 1.90
O  0.8702  0.0000  0.6800  1 I 1.91
O  0.9340  0.5000  0.7591  2 Ca 2.30, 1 La 2.37, 1 O 2.56



Compound: CaNbNi2Br
Source: Alexandria
Functional: PBE
Structure: relaxed

Symmetry: P4/mmm, No. 123
Energy relative to the elements, uncorrected: 3.60 eV per formula unit

a = 4.5233 Å, b = 4.5233 Å, c = 6.5908 Å
α = 90.00°, β = 90.00°, γ = 90.00°
Closest atoms and distances in Å follow each position.
Positions (direct):
Ca  0.0000  0.0000  0.0000  4 Br 3.20, 2 Nb 3.30
Nb  0.0000  0.0000  0.5000  4 Ni 2.26
Ni  0.0000  0.5000  0.5000  2 Nb 2.26
Ni  0.5000  0.0000  0.5000  2 Nb 2.26
Br  0.5000  0.5000  0.0000  4 Ca 3.20



Compound: SmTeO
Source: Alexandria
Functional: PBE
Structure: relaxed

Symmetry: P-3m1, No. 164
Energy relative to the elements, uncorrected: -6.03 eV per formula unit

a = 3.8846 Å, b = 3.8846 Å, c = 10.5113 Å
α = 90.00°, β = 90.00°, γ = 120.00°
Closest atoms and distances in Å follow each position.
Positions (direct):
Sm  0.3333  0.6667  0.3535  4 O 2.34-2.40
Sm  0.6667  0.3333  0.6465  4 O 2.34-2.40
Te  0.3333  0.6667  0.8837  1 O 3.17, 3 Te 3.32, 3 Sm 3.35
Te  0.6667  0.3333  0.1163  1 O 3.17, 3 Te 3.32, 3 Sm 3.35
O  0.3333  0.6667  0.5819  4 Sm 2.34-2.40
O  0.6667  0.3333  0.4181  4 Sm 2.34-2.40



Compound: BaOsW
Source: Alexandria
Functional: PBE
Structure: relaxed

E above lowest polymorph: 0.0 kJ per mole of atoms
Symmetry: P3m1, No. 156
ΔH_f (0 K): 0.69 eV/atom

a = 4.2100 Å, b = 4.2100 Å, c = 5.4439 Å
α = 90.00°, β = 90.00°, γ = 120.00°
Closest atoms and distances in Å follow each position.
Positions (direct):
Ba  0.0000  0.0000  0.0000  6 Os 3.52-3.79, 6 W 3.58-3.72
Os  0.3333  0.6667  0.5331  3 W 2.45
W  0.6667  0.3333  0.4825  3 Os 2.45



Compound: Mg3Sc3Ni
Source: Alexandria
Functional: PBE
Structure: relaxed

Symmetry: Fd-3m, No. 227
ΔH_f (0 K): -0.10 eV/atom

a = 9.5771 Å, b = 9.5771 Å, c = 9.5771 Å
α = 60.00°, β = 60.00°, γ = 60.00°
Closest atoms and distances in Å follow each position.
Positions (direct):
Mg  0.0000  0.0000  0.0000  6 Mg 2.95
Mg  0.0000  0.0000  0.5000  6 Mg 2.95
Mg  0.0000  0.5000  0.0000  6 Mg 2.95
Mg  0.1326  0.7891  0.7891  6 Mg 2.95-3.29, 3 Sc 3.17
Mg  0.2109  0.2109  0.2109  6 Mg 2.95-3.29, 3 Sc 3.17
Mg  0.2109  0.2109  0.8674  6 Mg 2.95-3.29, 3 Sc 3.17
Mg  0.2109  0.8674  0.2109  6 Mg 2.95-3.29, 3 Sc 3.17
Mg  0.5000  0.0000  0.0000  6 Mg 2.95
Mg  0.7891  0.1326  0.7891  6 Mg 2.95-3.29, 3 Sc 3.17
Mg  0.7891  0.7891  0.1326  6 Mg 2.95-3.29, 3 Sc 3.17
Mg  0.7891  0.7891  0.7891  6 Mg 2.95-3.29, 3 Sc 3.17
Mg  0.8674  0.2109  0.2109  6 Mg 2.95-3.29, 3 Sc 3.17
Sc  0.1801  0.1801  0.5699  2 Ni 2.57
Sc  0.1801  0.5699  0.1801  2 Ni 2.57
Sc  0.1801  0.5699  0.5699  2 Ni 2.57
Sc  0.4301  0.4301  0.8199  2 Ni 2.57
Sc  0.4301  0.8199  0.4301  2 Ni 2.57
Sc  0.4301  0.8199  0.8199  2 Ni 2.57
Sc  0.5699  0.1801  0.1801  2 Ni 2.57
Sc  0.5699  0.1801  0.5699  2 Ni 2.57
Sc  0.5699  0.5699  0.1801  2 Ni 2.57
Sc  0.8199  0.4301  0.4301  2 Ni 2.57
Sc  0.8199  0.4301  0.8199  2 Ni 2.57
Sc  0.8199  0.8199  0.4301  2 Ni 2.57
Ni  0.0000  0.5000  0.5000  6 Sc 2.57
Ni  0.5000  0.0000  0.5000  6 Sc 2.57
Ni  0.5000  0.5000  0.0000  6 Sc 2.57
Ni  0.5000  0.5000  0.5000  6 Sc 2.57



Compound: SrUGeO5
Source: Alexandria
Functional: PBE
Structure: relaxed

Symmetry: C2/c, No. 15
Energy relative to the elements, uncorrected: -20.93 eV per formula unit

a = 6.0783 Å, b = 6.0783 Å, c = 7.8623 Å
α = 102.86°, β = 102.86°, γ = 107.22°
Closest atoms and distances in Å follow each position.
Positions (direct):
Sr  0.1646  0.8354  0.7500  5 O 2.44-2.66
Sr  0.8354  0.1646  0.2500  5 O 2.44-2.66
U  0.5000  0.5000  0.0000  6 O 2.14-2.33
U  0.5000  0.5000  0.5000  6 O 2.14-2.33
Ge  0.1789  0.8211  0.2500  4 O 1.80
Ge  0.8211  0.1789  0.7500  4 O 1.80
O  0.1096  0.2366  0.9086  1 Ge 1.80
O  0.1762  0.6065  0.3749  1 Ge 1.80
O  0.2366  0.1096  0.4086  1 Ge 1.80
O  0.3935  0.8238  0.1251  1 Ge 1.80
O  0.4143  0.5857  0.7500  2 U 2.14
O  0.5857  0.4143  0.2500  2 U 2.14
O  0.6065  0.1762  0.8749  1 Ge 1.80
O  0.7634  0.8904  0.5914  1 Ge 1.80
O  0.8238  0.3935  0.6251  1 Ge 1.80
O  0.8904  0.7634  0.0914  1 Ge 1.80



Compound: Cs3AcNp2Se6
Source: Alexandria
Functional: PBE
Structure: relaxed

Symmetry: C2/m, No. 12
Energy relative to the elements, uncorrected: -16.83 eV per formula unit

a = 7.6957 Å, b = 7.6957 Å, c = 8.7805 Å
α = 98.41°, β = 98.41°, γ = 119.99°
Closest atoms and distances in Å follow each position.
Positions (direct):
Cs  0.0000  0.0000  0.0000  6 Se 3.58-3.70
Cs  0.3362  0.6638  0.0000  6 Se 3.59-3.71
Cs  0.6638  0.3362  0.0000  6 Se 3.59-3.71
Ac  0.5000  0.5000  0.5000  6 Se 3.12-3.13
Np  0.1669  0.8331  0.5000  6 Se 2.96-2.97
Np  0.8331  0.1669  0.5000  6 Se 2.96-2.97
Se  0.0870  0.4367  0.3105  2 Np 2.96-2.97, 1 Ac 3.13
Se  0.2130  0.2130  0.6882  2 Np 2.96, 1 Ac 3.12
Se  0.4367  0.0870  0.3105  2 Np 2.96-2.97, 1 Ac 3.13
Se  0.5633  0.9130  0.6895  2 Np 2.96-2.97, 1 Ac 3.13
Se  0.7870  0.7870  0.3118  2 Np 2.96, 1 Ac 3.12
Se  0.9130  0.5633  0.6895  2 Np 2.96-2.97, 1 Ac 3.13



Compound: TbDy2NpS4
Source: Alexandria
Functional: PBE
Structure: relaxed

Symmetry: P2/m, No. 10
Energy relative to the elements, uncorrected: -14.78 eV per formula unit

a = 6.7789 Å, b = 3.9058 Å, c = 6.7802 Å
α = 90.00°, β = 109.32°, γ = 90.00°
Closest atoms and distances in Å follow each position.
Positions (direct):
Tb  0.0000  0.0000  0.0000  6 S 2.77
Dy  0.0000  0.5000  0.5000  6 S 2.76
Dy  0.5000  0.0000  0.5000  6 S 2.76
Np  0.5000  0.5000  0.0000  6 S 2.77
S  0.2500  0.0000  0.7487  3 Dy 2.76, 2 Np 2.77, 1 Tb 2.77
S  0.2505  0.5000  0.2521  3 Dy 2.76, 1 Np 2.77, 2 Tb 2.77
S  0.7495  0.5000  0.7479  3 Dy 2.76, 1 Np 2.77, 2 Tb 2.77
S  0.7500  0.0000  0.2513  3 Dy 2.76, 2 Np 2.77, 1 Tb 2.77



Compound: PrNdZnAu
Source: Alexandria
Functional: PBE
Structure: relaxed

E above lowest polymorph: 2.1 kJ per mole of atoms
Symmetry: F-43m, No. 216
ΔH_f (0 K): -0.51 eV/atom

a = 5.2661 Å, b = 5.2661 Å, c = 5.2661 Å
α = 60.00°, β = 60.00°, γ = 60.00°
Closest atoms and distances in Å follow each position.
Positions (direct):
Pr  0.0000  0.0000  0.0000  4 Zn 3.22, 4 Au 3.22
Nd  0.5000  0.5000  0.5000  4 Zn 3.22, 4 Au 3.22
Zn  0.2500  0.2500  0.2500  4 Pr 3.22, 4 Nd 3.22
Au  0.7500  0.7500  0.7500  4 Pr 3.22, 4 Nd 3.22



Compound: CdSnPt2
Source: Alexandria
Functional: PBE
Structure: relaxed

Symmetry: P4/mmm, No. 123
ΔH_f (0 K): -0.29 eV/atom

a = 3.3458 Å, b = 3.3458 Å, c = 6.5548 Å
α = 90.00°, β = 90.00°, γ = 90.00°
Closest atoms and distances in Å follow each position.
Positions (direct):
Cd  0.0000  0.0000  0.0000  8 Pt 2.91
Sn  0.0000  0.0000  0.5000  8 Pt 2.84
Pt  0.5000  0.5000  0.2591  4 Sn 2.84, 4 Cd 2.91, 1 Pt 3.16
Pt  0.5000  0.5000  0.7409  4 Sn 2.84, 4 Cd 2.91, 1 Pt 3.16



Compound: CaCoTeBr2
Source: Alexandria
Functional: PBE
Structure: relaxed

Symmetry: P4/mmm, No. 123
Energy relative to the elements, uncorrected: 2.01 eV per formula unit

a = 5.7642 Å, b = 5.7642 Å, c = 6.0129 Å
α = 90.00°, β = 90.00°, γ = 90.00°
Closest atoms and distances in Å follow each position.
Positions (direct):
Ca  0.0000  0.0000  0.0000  2 Te 3.01
Co  0.5000  0.5000  0.0000  4 Ca 4.08, 8 Br 4.16
Te  0.0000  0.0000  0.5000  4 Br 2.88, 2 Ca 3.01
Br  0.0000  0.5000  0.5000  2 Te 2.88
Br  0.5000  0.0000  0.5000  2 Te 2.88



Compound: Cu2Ag2Te
Source: Alexandria
Functional: PBE
Structure: relaxed

E above lowest polymorph: 12.8 kJ per mole of atoms
Symmetry: I4/mmm, No. 139
Energy relative to the elements, uncorrected: 1.31 eV per formula unit

a = 8.3998 Å, b = 8.3998 Å, c = 8.3998 Å
α = 156.23°, β = 156.23°, γ = 33.87°
Closest atoms and distances in Å follow each position.
Positions (direct):
Cu  0.2500  0.7500  0.5000  4 Cu 2.45, 4 Ag 2.72
Cu  0.7500  0.2500  0.5000  4 Cu 2.45, 4 Ag 2.72
Ag  0.1192  0.1192  0.0000  4 Cu 2.72
Ag  0.8808  0.8808  0.0000  4 Cu 2.72
Te  0.5000  0.5000  0.0000  8 Ag 3.11, 4 Te 3.46



Calculated M_tot in order - 0.0000 0.0000 0.0000 0.0000 0.0000 0.4361 0.6683 0.0000 0.1698 0.2633 0.0000 0.0000 0.0002 0.2478 0.6667 0.5660 0.0051 0.0000 0.4681 0.0000 μB/atom
Calculated E in order - -89.73 -23.39 -9.14 -21.39 -25.68 -24.89 -19.65 -16.09 -71.07 -21.71 -18.85 -24.03 -30.28 -63.31 -70.29 -58.07 -16.14 -18.14 -13.59 -15.73 eV per formula unit